No. 1
Material: Li2CaBSb
Method: DFT, PBE
State: optimized geometry

Structure (extended XYZ):
```
5
Lattice="5.221 0.000 0.000 0.000 5.221 0.000 0.000 0.000 4.616" Properties=species:S:1:pos:R:3 pbc="T T T"
Li 0.000 2.611 0.000
Li 2.611 0.000 0.000
Ca 0.000 0.000 0.000
B 0.000 0.000 2.308
Sb 2.611 2.611 2.308
```

Computed properties:
Space-group type: P4/mmm, No. 123
Formation energy from raw total energies, eV/atom: 1.10


No. 2
Material: SrGdCdHg
Method: DFT, PBE
State: optimized geometry

Structure (extended XYZ):
```
16
Lattice="7.775 0.000 0.000 0.000 7.775 0.000 0.000 0.000 7.775" Properties=species:S:1:pos:R:3 pbc="T T T"
Sr 0.000 0.000 0.000
Sr 0.000 3.887 3.887
Sr 3.887 0.000 3.887
Sr 3.887 3.887 0.000
Gd 0.000 0.000 3.887
Gd 0.000 3.887 0.000
Gd 3.887 0.000 0.000
Gd 3.887 3.887 3.887
Cd 1.944 1.944 1.944
Cd 1.944 5.831 5.831
Cd 5.831 1.944 5.831
Cd 5.831 5.831 1.944
Hg 1.944 1.944 5.831
Hg 1.944 5.831 1.944
Hg 5.831 1.944 1.944
Hg 5.831 5.831 5.831
```

Computed properties:
Raw total energy, eV per atom: -4.625
Space-group type: F-43m, No. 216


No. 3
Material: Ba2CaY
Method: DFT, PBE
State: optimized geometry

Structure (extended XYZ):
```
4
Lattice="3.881 0.000 0.000 0.000 6.420 0.000 -1.315 0.000 7.463" Properties=species:S:1:pos:R:3 pbc="T T T"
Ba 0.000 0.000 0.000
Ba -0.145 3.210 5.352
Ca 2.435 3.210 1.850
Y 1.290 0.000 3.605
```

Computed properties:
Raw total energy, eV per atom: -2.895
Space-group type: Pm, No. 6


No. 4
Material: Pm3Nd8Ho2
Method: DFT, PBE
State: optimized geometry

Structure (extended XYZ):
```
13
Lattice="6.633 -5.950 0.000 6.633 5.950 0.000 -2.483 0.000 5.729" Properties=species:S:1:pos:R:3 pbc="T T T"
Pm 0.000 0.000 0.000
Pm 5.392 3.039 2.864
Pm 5.392 -3.039 2.864
Nd 2.286 2.900 4.746
Nd 0.665 0.000 3.153
Nd 8.498 2.900 0.983
Nd 4.130 0.000 4.087
Nd 6.653 0.000 1.642
Nd 2.286 -2.900 4.746
Nd 10.119 0.000 2.576
Nd 8.498 -2.900 0.983
Ho 3.457 0.000 0.831
Ho 7.327 0.000 4.898
```

Computed properties:
Raw total energy, eV per atom: -4.580
Space-group type: C2/m, No. 12


No. 5
Material: HfRh2PbS
Method: DFT, PBE
State: optimized geometry

Structure (extended XYZ):
```
5
Lattice="4.906 0.000 0.000 0.000 4.906 0.000 0.000 0.000 5.021" Properties=species:S:1:pos:R:3 pbc="T T T"
Hf 0.000 0.000 0.000
Rh 0.000 2.453 2.511
Rh 2.453 0.000 2.511
Pb 2.453 2.453 2.511
S 2.453 2.453 0.000
```

Computed properties:
Space-group type: P4/mmm, No. 123
Formation energy from raw total energies, eV/atom: 1.18


No. 6
Material: BRu
Method: DFT, PBE
State: optimized geometry

Structure (extended XYZ):
```
8
Lattice="2.934 0.000 0.000 0.000 4.966 0.000 0.000 0.000 5.742" Properties=species:S:1:pos:R:3 pbc="T T T"
B 0.000 0.906 0.000
B 0.000 4.059 0.000
B 1.467 1.576 2.871
B 1.467 3.389 2.871
Ru 0.000 2.483 1.449
Ru 0.000 2.483 4.293
Ru 1.467 0.000 1.422
Ru 1.467 0.000 4.320
```

Computed properties:
Raw total energy, eV per atom: -8.298
Space-group type: Immm, No. 71